Entry from the Alexandria database: CeTl2BiSe4 after structural relaxation (GGA-PBE).

The density of states at the Fermi level is 5.51 states/eV/f.u. Its calculated volume is 31.3 A^3/atom. As for the space-group type: P2/m. Its formation energy without anion corrections is -884.7 meV/atom. As for the total moment: 0.1129 μB/atom. The crystal system is monoclinic.

Cell lengths 7.4806, 4.3458, 8.0936 Å; angles 90.00, 108.10, 90.00 degrees
Sites, in units of the cell vectors:
Ce (0.0000, 0.0000, 0.0000)
Tl (0.0000, 0.5000, 0.5000)
Tl (0.5000, 0.0000, 0.5000)
Bi (0.5000, 0.5000, 0.0000)
Se (0.2348, 0.5000, 0.2106)
Se (0.2614, 0.0000, 0.7873)
Se (0.7386, 0.0000, 0.2127)
Se (0.7652, 0.5000, 0.7894)